# 1
An optimized crystal structure of CoGe3Mo. Source: Alexandria via LeMat-Bulk, functional GGA-PBE.

abc: 4.5154 4.5154 4.5154
angles: 90.00 90.00 90.00
With the nearest neighbours (Å) after each atom.
Sites, in units of the cell vectors:
Co 0.0000 0.0000 0.0000  6 Ge 2.26
Ge 0.0000 0.0000 0.5000  2 Co 2.26
Ge 0.0000 0.5000 0.0000  2 Co 2.26
Ge 0.5000 0.0000 0.0000  2 Co 2.26
Mo 0.5000 0.5000 0.5000  12 Ge 3.19

Results
Space-group type: Pm-3m
Distance to the lowest polymorph of the same formula, eV/atom: 0.000
Energy, eV per atom: -5.605
Energy of formation from the pure elements, eV per atom: 0.753


# 2
An optimized crystal structure of LiTaPd2. Source: Alexandria via LeMat-Bulk, functional GGA-PBE.

abc: 4.7003 4.7003 2.8522
angles: 90.00 90.00 90.00
With the nearest neighbours (Å) after each atom.
Sites, in units of the cell vectors:
Li 0.0000 0.0000 0.0000  8 Pd 2.75, 2 Li 2.85
Ta 0.5000 0.5000 0.0000  8 Pd 2.75, 2 Ta 2.85
Pd 0.0000 0.5000 0.5000  4 Ta 2.75, 4 Li 2.75, 2 Pd 2.85
Pd 0.5000 0.0000 0.5000  4 Ta 2.75, 4 Li 2.75, 2 Pd 2.85

Results
Space-group type: P4/mmm
Energy, eV per atom: -6.336
Energy of formation from the pure elements, eV per atom: -0.298


# 3
An optimized crystal structure of Th6FeSe5. Source: Alexandria via LeMat-Bulk, functional GGA-PBE.

abc: 7.2979 7.2979 7.2633
angles: 99.84 99.84 119.45
With the nearest neighbours (Å) after each atom.
Sites, in units of the cell vectors:
Th 0.0767 0.3817 0.2288  1 Fe 2.72, 4 Se 2.98-3.02
Th 0.2301 0.2301 0.7542  1 Fe 2.85, 5 Se 3.01-3.14
Th 0.3817 0.0767 0.2288  1 Fe 2.72, 4 Se 2.98-3.02
Th 0.6183 0.9233 0.7712  1 Fe 2.72, 4 Se 2.98-3.02
Th 0.7699 0.7699 0.2458  1 Fe 2.85, 5 Se 3.01-3.14
Th 0.9233 0.6183 0.7712  1 Fe 2.72, 4 Se 2.98-3.02
Fe 0.0000 0.0000 0.0000  6 Th 2.72-2.85
Se 0.1801 0.8199 0.5000  6 Th 3.02-3.11
Se 0.3354 0.6646 0.0000  6 Th 3.00-3.01
Se 0.5000 0.5000 0.5000  6 Th 2.98-3.14
Se 0.6646 0.3354 0.0000  6 Th 3.00-3.01
Se 0.8199 0.1801 0.5000  6 Th 3.02-3.11

Results
Formation energy (no corrections), meV/atom: -1322
Space-group type: C2/m
Energy, eV per atom: -7.189